A relaxed UTaTlO6 crystal, computed with PBE.

a = 7.5249 Å, b = 7.9412 Å, c = 7.6988 Å
α = 121.05°, β = 119.26°, γ = 90.00°
Closest atoms and distances in Å follow each position.
Fractional positions:
U  0.5000  0.5000  0.0000  6 O 2.08-2.12
U  0.5000  0.0000  0.0000  6 O 2.08-2.12
Ta  0.5000  0.0000  0.5000  6 O 1.98-2.01
Ta  0.0000  0.0000  0.5000  6 O 1.98-2.01
Tl  0.9417  0.6917  0.8834  1 O 2.72
Tl  0.0583  0.3083  0.1166  1 O 2.72
O  0.4324  0.6824  0.8648  2 U 2.12
O  0.8074  0.0574  0.6148  2 Ta 1.98
O  0.8200  0.0520  0.2482  1 Ta 2.01, 1 U 2.08
O  0.4282  0.6963  0.2482  1 Ta 2.01, 1 U 2.08
O  0.4282  0.0520  0.2482  1 Ta 2.01, 1 U 2.08
O  0.8200  0.6963  0.2482  1 Ta 2.01, 1 U 2.08
O  0.5676  0.3176  0.1352  2 U 2.12
O  0.1926  0.9426  0.3852  2 Ta 1.98
O  0.1800  0.9480  0.7518  1 Ta 2.01, 1 U 2.08
O  0.5718  0.3037  0.7518  1 Ta 2.01, 1 U 2.08
O  0.5718  0.9480  0.7518  1 Ta 2.01, 1 U 2.08
O  0.1800  0.3037  0.7518  1 Ta 2.01, 1 U 2.08

As for the uncorrected formation energy: -2.631 eV per atom.